A geometry-optimized Hf2MgH structure, computed with GGA-PBE.

Computed properties:
Electronic total energy, hartree per atom: -0.2218
DOS(E_F), states/eV per atom: 1.06
Mass density, g cm⁻³: 8.886
Size of the total moment, μB per cell: 0.65

abc: 8.959 8.959 8.959
angles: 19.70 19.70 19.70
Element x y z (fractional)
Hf: 0.114 0.114 0.114
Hf: 0.886 0.886 0.886
Mg: 0.000 0.000 0.000
H: 0.500 0.500 0.500


A geometry-optimized Sr3Pa3BiN8 structure, computed with GGA-PBE.

Computed properties:
Electronic total energy, hartree per atom: -0.2928
Mass density, g cm⁻³: 7.879
Size of the total moment, μB per cell: 0.00

abc: 7.275 7.275 7.275
angles: 59.50 59.50 59.50
Element x y z (fractional)
Sr: 0.000 0.500 0.500
Sr: 0.500 0.000 0.500
Sr: 0.500 0.500 0.000
Pa: 0.000 0.000 0.500
Pa: 0.000 0.500 0.000
Pa: 0.500 0.000 0.000
Bi: 0.500 0.500 0.500
N: 0.203 0.742 0.742
N: 0.238 0.238 0.238
N: 0.258 0.258 0.797
N: 0.258 0.797 0.258
N: 0.742 0.203 0.742
N: 0.742 0.742 0.203
N: 0.762 0.762 0.762
N: 0.797 0.258 0.258


A geometry-optimized Ti6GaRe5 structure, computed with GGA-PBE.

Computed properties:
Electronic total energy, hartree per atom: -0.3608
DOS(E_F), states/eV per atom: 0.72
Mass density, g cm⁻³: 11.671
Size of the total moment, μB per cell: 0.00

abc: 7.661 7.661 7.661
angles: 146.64 131.59 60.07
Element x y z (fractional)
Ti: 0.076 0.330 0.745
Ti: 0.239 0.000 0.239
Ti: 0.415 0.670 0.745
Ti: 0.585 0.330 0.255
Ti: 0.761 0.000 0.761
Ti: 0.924 0.670 0.255
Ga: 0.500 0.500 0.000
Re: 0.000 0.500 0.500
Re: 0.167 0.167 0.000
Re: 0.338 0.838 0.500
Re: 0.662 0.162 0.500
Re: 0.833 0.833 0.000


A geometry-optimized AlOsPb2 structure, computed with GGA-PBE.

Computed properties:
Electronic total energy, hartree per atom: -0.1765
DOS(E_F), states/eV per atom: 0.76
Mass density, g cm⁻³: 12.315
Size of the total moment, μB per cell: 0.00

abc: 4.871 4.871 4.871
angles: 116.86 116.86 95.53
Element x y z (fractional)
Al: 0.000 0.000 0.000
Os: 0.250 0.750 0.500
Pb: 0.500 0.500 0.000
Pb: 0.750 0.250 0.500


A geometry-optimized BaCd9Ni3 structure, computed with GGA-PBE.

Computed properties:
Electronic total energy, hartree per atom: -0.0800
DOS(E_F), states/eV per atom: 0.59
Mass density, g cm⁻³: 8.110
Size of the total moment, μB per cell: 0.00

abc: 7.787 7.787 7.126
angles: 96.36 96.36 138.62
Element x y z (fractional)
Ba: 0.000 0.000 0.000
Cd: 0.000 0.000 0.500
Cd: 0.044 0.680 0.673
Cd: 0.300 0.533 0.777
Cd: 0.320 0.956 0.327
Cd: 0.467 0.700 0.223
Cd: 0.533 0.300 0.777
Cd: 0.680 0.044 0.673
Cd: 0.700 0.467 0.223
Cd: 0.956 0.320 0.327
Ni: 0.000 0.500 0.000
Ni: 0.500 0.000 0.000
Ni: 0.500 0.500 0.500


A geometry-optimized CoSiHW2 structure, computed with GGA-PBE.

Computed properties:
Electronic total energy, hartree per atom: -0.2364
DOS(E_F), states/eV per atom: 1.36
Mass density, g cm⁻³: 9.131
Size of the total moment, μB per cell: 0.00

abc: 4.536 4.536 4.029
angles: 90.00 90.00 90.00
Element x y z (fractional)
Co: 0.000 0.000 0.000
Si: 0.000 0.000 0.500
H: 0.500 0.500 0.000
W: 0.000 0.500 0.500
W: 0.500 0.000 0.500


> Among the records above, which one has the highest mass density?

AlOsPb2